[1]
A plane-wave DFT calculation with PBE was carried out for NaIn3Cl after structural relaxation.

Cell: 5.752 5.752 5.752 Å, 90.00 90.00 90.00°
Positions (direct):
Na1 0.000 0.000 0.000
In1 0.000 0.500 0.500
In2 0.500 0.000 0.500
In3 0.500 0.500 0.000
Cl1 0.500 0.500 0.500

Computed properties:
- spin magnetization (μB/f.u.) = 0.0
- offset from the most stable computed form (meV/atom) = 0.0
- crystal system = cubic
- energy relative to the elements, uncorrected (kJ per mole of atoms) = -1

[2]
A plane-wave DFT calculation with PBE was carried out for NaInCl3 after structural relaxation.

Cell: 6.645 7.172 15.286 Å, 90.00 105.92 90.00°
Positions (direct):
Na1 0.184 0.091 0.247
Na2 0.184 0.409 0.747
Na3 0.816 0.591 0.253
Na4 0.816 0.909 0.753
In1 0.347 0.512 0.418
In2 0.347 0.988 0.918
In3 0.653 0.012 0.082
In4 0.653 0.488 0.582
Cl1 0.039 0.191 0.885
Cl2 0.039 0.309 0.385
Cl3 0.154 0.696 0.875
Cl4 0.154 0.804 0.375
Cl5 0.450 0.078 0.780
Cl6 0.450 0.422 0.280
Cl7 0.550 0.578 0.720
Cl8 0.550 0.922 0.220
Cl9 0.846 0.196 0.625
Cl10 0.846 0.304 0.125
Cl11 0.961 0.691 0.615
Cl12 0.961 0.809 0.115

Computed properties:
- spin magnetization (μB/f.u.) = 0.0
- crystal system = monoclinic
- energy relative to the elements, uncorrected (kJ per mole of atoms) = -127

[3]
A plane-wave DFT calculation with PBE was carried out for NaIn2Cl3 after structural relaxation.

Cell: 4.391 19.141 4.392 Å, 90.00 90.00 90.00°
Positions (direct):
Na1 0.000 0.000 0.000
Na2 0.500 0.500 0.500
In1 0.000 0.341 0.997
In2 0.000 0.659 0.997
In3 0.500 0.159 0.497
In4 0.500 0.841 0.497
Cl1 0.000 0.141 0.997
Cl2 0.000 0.500 0.996
Cl3 0.000 0.859 0.997
Cl4 0.500 0.000 0.496
Cl5 0.500 0.359 0.497
Cl6 0.500 0.641 0.497

Computed properties:
- spin magnetization (μB/f.u.) = 0.0
- crystal system = orthorhombic
- energy relative to the elements, uncorrected (kJ per mole of atoms) = -108

[4]
A plane-wave DFT calculation with PBE was carried out for Na2InCl after structural relaxation.

Cell: 8.082 8.082 7.180 Å, 90.00 90.00 90.00°
Positions (direct):
Na1 0.192 0.250 0.125
Na2 0.250 0.692 0.375
Na3 0.250 0.808 0.875
Na4 0.308 0.250 0.625
Na5 0.692 0.750 0.625
Na6 0.750 0.192 0.875
Na7 0.750 0.308 0.375
Na8 0.808 0.750 0.125
In1 0.000 0.000 0.500
In2 0.000 0.500 0.750
In3 0.500 0.000 0.250
In4 0.500 0.500 0.000
Cl1 0.000 0.000 0.000
Cl2 0.000 0.500 0.250
Cl3 0.500 0.000 0.750
Cl4 0.500 0.500 0.500

Computed properties:
- spin magnetization (μB/f.u.) = 0.0
- offset from the most stable computed form (meV/atom) = 172.3
- crystal system = tetragonal
- energy relative to the elements, uncorrected (kJ per mole of atoms) = -62

[5]
A plane-wave DFT calculation with PBE was carried out for Na5InCl8 after structural relaxation.

Cell: 8.243 8.243 8.243 Å, 60.00 60.00 60.00°
Positions (direct):
Na1 0.000 0.000 0.000
Na2 0.086 0.638 0.638
Na3 0.638 0.086 0.638
Na4 0.638 0.638 0.086
Na5 0.638 0.638 0.638
In1 0.250 0.250 0.250
Cl1 0.370 0.370 0.370
Cl2 0.370 0.370 0.890
Cl3 0.370 0.890 0.370
Cl4 0.394 0.869 0.869
Cl5 0.869 0.394 0.869
Cl6 0.869 0.869 0.394
Cl7 0.869 0.869 0.869
Cl8 0.890 0.370 0.370

Computed properties:
- spin magnetization (μB/f.u.) = 0.0
- offset from the most stable computed form (meV/atom) = 6.5
- crystal system = cubic
- energy relative to the elements, uncorrected (kJ per mole of atoms) = -149

[6]
A plane-wave DFT calculation with PBE was carried out for NaIn2Cl after structural relaxation.

Cell: 7.775 7.775 7.775 Å, 90.00 90.00 90.00°
Positions (direct):
Na1 0.000 0.000 0.000
Na2 0.000 0.500 0.500
Na3 0.500 0.000 0.500
Na4 0.500 0.500 0.000
In1 0.250 0.250 0.250
In2 0.250 0.250 0.750
In3 0.250 0.750 0.250
In4 0.250 0.750 0.750
In5 0.750 0.250 0.250
In6 0.750 0.250 0.750
In7 0.750 0.750 0.250
In8 0.750 0.750 0.750
Cl1 0.000 0.000 0.500
Cl2 0.000 0.500 0.000
Cl3 0.500 0.000 0.000
Cl4 0.500 0.500 0.500

Computed properties:
- spin magnetization (μB/f.u.) = 0.0
- offset from the most stable computed form (meV/atom) = 157.8
- crystal system = cubic
- energy relative to the elements, uncorrected (kJ per mole of atoms) = -17

[7]
A plane-wave DFT calculation with PBE was carried out for NaIn2Cl8 after structural relaxation.

Cell: 8.368 8.368 6.596 Å, 102.80 102.80 57.79°
Positions (direct):
Na1 0.000 0.000 0.000
In1 0.174 0.174 0.653
In2 0.826 0.826 0.347
Cl1 0.146 0.694 0.266
Cl2 0.176 0.176 0.293
Cl3 0.306 0.854 0.734
Cl4 0.331 0.331 0.862
Cl5 0.669 0.669 0.138
Cl6 0.694 0.146 0.266
Cl7 0.824 0.824 0.707
Cl8 0.854 0.306 0.734

Computed properties:
- spin magnetization (μB/f.u.) = 1.1
- crystal system = monoclinic
- energy relative to the elements, uncorrected (kJ per mole of atoms) = -96

[8]
A plane-wave DFT calculation with PBE was carried out for NaIn2Cl4 after structural relaxation.

Cell: 5.016 5.016 20.422 Å, 90.00 90.00 90.00°
Positions (direct):
Na1 0.000 0.000 0.000
Na2 0.500 0.500 0.500
In1 0.000 0.000 0.174
In2 0.000 0.000 0.826
In3 0.500 0.500 0.326
In4 0.500 0.500 0.674
Cl1 0.000 0.000 0.304
Cl2 0.000 0.000 0.696
Cl3 0.000 0.500 0.000
Cl4 0.000 0.500 0.500
Cl5 0.500 0.000 0.000
Cl6 0.500 0.000 0.500
Cl7 0.500 0.500 0.196
Cl8 0.500 0.500 0.804

Computed properties:
- spin magnetization (μB/f.u.) = 0.9
- crystal system = tetragonal
- energy relative to the elements, uncorrected (kJ per mole of atoms) = -71

[9]
A plane-wave DFT calculation with PBE was carried out for Na3InCl6 after structural relaxation.

Cell: 7.394 7.394 7.394 Å, 56.16 56.16 56.16°
Positions (direct):
Na1 0.000 0.000 0.000
Na2 0.201 0.201 0.201
Na3 0.491 0.491 0.491
In1 0.691 0.691 0.691
Cl1 0.055 0.440 0.798
Cl2 0.318 0.899 0.596
Cl3 0.440 0.798 0.055
Cl4 0.596 0.318 0.899
Cl5 0.798 0.055 0.440
Cl6 0.899 0.596 0.318

Computed properties:
- spin magnetization (μB/f.u.) = 0.0
- crystal system = trigonal
- energy relative to the elements, uncorrected (kJ per mole of atoms) = -147

[10]
A plane-wave DFT calculation with PBE was carried out for Na2In2Cl7 after structural relaxation.

Cell: 7.551 7.551 6.914 Å, 95.08 95.08 109.04°
Positions (direct):
Na1 0.195 0.805 0.000
Na2 0.805 0.195 0.000
In1 0.235 0.235 0.615
In2 0.765 0.765 0.385
Cl1 0.068 0.068 0.271
Cl2 0.082 0.434 0.798
Cl3 0.434 0.082 0.798
Cl4 0.500 0.500 0.500
Cl5 0.566 0.918 0.202
Cl6 0.918 0.566 0.202
Cl7 0.932 0.932 0.729

Computed properties:
- spin magnetization (μB/f.u.) = 0.0
- crystal system = monoclinic
- energy relative to the elements, uncorrected (kJ per mole of atoms) = -120

[11]
A plane-wave DFT calculation with PBE was carried out for Na3InCl after structural relaxation.

Cell: 5.936 5.936 5.936 Å, 90.00 90.00 90.00°
Positions (direct):
Na1 0.000 0.000 0.500
Na2 0.000 0.500 0.000
Na3 0.500 0.000 0.000
In1 0.000 0.000 0.000
Cl1 0.500 0.500 0.500

Computed properties:
- spin magnetization (μB/f.u.) = 0.0
- offset from the most stable computed form (meV/atom) = 463.4
- crystal system = cubic
- energy relative to the elements, uncorrected (kJ per mole of atoms) = -10

[12]
A plane-wave DFT calculation with PBE was carried out for NaIn3Cl6 after structural relaxation.

Cell: 7.190 7.636 12.600 Å, 90.00 123.98 90.00°
Positions (direct):
Na1 0.000 0.000 0.000
Na2 0.000 0.500 0.500
In1 0.227 0.073 0.745
In2 0.227 0.427 0.245
In3 0.500 0.000 0.500
In4 0.500 0.500 0.000
In5 0.773 0.573 0.755
In6 0.773 0.927 0.255
Cl1 0.171 0.183 0.464
Cl2 0.171 0.317 0.964
Cl3 0.275 0.720 0.457
Cl4 0.275 0.780 0.957
Cl5 0.346 0.021 0.261
Cl6 0.346 0.479 0.761
Cl7 0.654 0.521 0.239
Cl8 0.654 0.979 0.739
Cl9 0.725 0.220 0.043
Cl10 0.725 0.280 0.543
Cl11 0.829 0.683 0.036
Cl12 0.829 0.817 0.536

Computed properties:
- spin magnetization (μB/f.u.) = 0.0
- crystal system = monoclinic
- energy relative to the elements, uncorrected (kJ per mole of atoms) = -110

[13]
A plane-wave DFT calculation with PBE was carried out for Na5InCl8 after structural relaxation.

Cell: 8.011 8.011 8.011 Å, 105.09 105.09 118.64°
Positions (direct):
Na1 0.000 0.000 0.000
Na2 0.080 0.589 0.941
Na3 0.411 0.352 0.491
Na4 0.648 0.139 0.059
Na5 0.861 0.920 0.509
In1 0.250 0.750 0.500
Cl1 0.335 0.095 0.692
Cl2 0.352 0.035 0.192
Cl3 0.357 0.665 0.760
Cl4 0.403 0.643 0.308
Cl5 0.840 0.648 0.683
Cl6 0.843 0.160 0.808
Cl7 0.905 0.597 0.240
Cl8 0.965 0.157 0.317

Computed properties:
- spin magnetization (μB/f.u.) = 0.0
- offset from the most stable computed form (meV/atom) = 0.0
- crystal system = tetragonal
- energy relative to the elements, uncorrected (kJ per mole of atoms) = -149

[14]
A plane-wave DFT calculation with PBE was carried out for Na3InCl4 after structural relaxation.

Cell: 7.277 8.397 7.185 Å, 90.00 109.62 90.00°
Positions (direct):
Na1 0.000 0.118 0.250
Na2 0.000 0.371 0.750
Na3 0.000 0.629 0.250
Na4 0.000 0.882 0.750
Na5 0.500 0.120 0.750
Na6 0.500 0.880 0.250
In1 0.500 0.374 0.250
In2 0.500 0.626 0.750
Cl1 0.218 0.355 0.501
Cl2 0.218 0.645 0.001
Cl3 0.248 0.113 0.987
Cl4 0.248 0.887 0.487
Cl5 0.752 0.113 0.513
Cl6 0.752 0.887 0.013
Cl7 0.782 0.355 0.999
Cl8 0.782 0.645 0.499

Computed properties:
- spin magnetization (μB/f.u.) = 0.0
- offset from the most stable computed form (meV/atom) = 0.0
- crystal system = monoclinic
- energy relative to the elements, uncorrected (kJ per mole of atoms) = -148

[15]
A plane-wave DFT calculation with PBE was carried out for NaIn5Cl6 after structural relaxation.

Cell: 7.714 7.714 7.709 Å, 99.45 99.45 118.88°
Positions (direct):
Na1 0.000 0.000 0.000
In1 0.166 0.834 0.500
In2 0.330 0.670 0.000
In3 0.500 0.500 0.500
In4 0.670 0.330 0.000
In5 0.834 0.166 0.500
Cl1 0.071 0.375 0.223
Cl2 0.218 0.218 0.737
Cl3 0.375 0.071 0.223
Cl4 0.625 0.929 0.777
Cl5 0.782 0.782 0.263
Cl6 0.929 0.625 0.777

Computed properties:
- spin magnetization (μB/f.u.) = 0.0
- crystal system = monoclinic
- energy relative to the elements, uncorrected (kJ per mole of atoms) = -92

[16]
A plane-wave DFT calculation with PBE was carried out for Na6InCl8 after structural relaxation.

Cell: 8.092 8.092 8.092 Å, 60.00 60.00 60.00°
Positions (direct):
Na1 0.000 0.000 0.500
Na2 0.000 0.500 0.000
Na3 0.000 0.500 0.500
Na4 0.500 0.000 0.000
Na5 0.500 0.000 0.500
Na6 0.500 0.500 0.000
In1 0.000 0.000 0.000
Cl1 0.243 0.243 0.757
Cl2 0.243 0.757 0.243
Cl3 0.243 0.757 0.757
Cl4 0.250 0.250 0.250
Cl5 0.750 0.750 0.750
Cl6 0.757 0.243 0.243
Cl7 0.757 0.243 0.757
Cl8 0.757 0.757 0.243

Computed properties:
- spin magnetization (μB/f.u.) = 0.3
- crystal system = cubic
- energy relative to the elements, uncorrected (kJ per mole of atoms) = -155

[17]
A plane-wave DFT calculation with PBE was carried out for NaInCl3 after structural relaxation.

Cell: 5.239 5.239 5.239 Å, 90.00 90.00 90.00°
Positions (direct):
Na1 0.000 0.000 0.000
In1 0.500 0.500 0.500
Cl1 0.000 0.000 0.500
Cl2 0.000 0.500 0.000
Cl3 0.500 0.000 0.000

Computed properties:
- spin magnetization (μB/f.u.) = 1.0
- crystal system = cubic
- energy relative to the elements, uncorrected (kJ per mole of atoms) = -75

[18]
A plane-wave DFT calculation with PBE was carried out for Na3InCl6 after structural relaxation.

Cell: 6.833 7.252 12.143 Å, 90.00 123.71 90.00°
Positions (direct):
Na1 0.000 0.000 0.000
Na2 0.000 0.500 0.500
Na3 0.211 0.081 0.741
Na4 0.211 0.419 0.241
Na5 0.789 0.581 0.759
Na6 0.789 0.919 0.259
In1 0.500 0.000 0.500
In2 0.500 0.500 0.000
Cl1 0.133 0.181 0.435
Cl2 0.133 0.319 0.935
Cl3 0.250 0.705 0.420
Cl4 0.250 0.795 0.920
Cl5 0.409 0.061 0.268
Cl6 0.409 0.439 0.768
Cl7 0.591 0.561 0.232
Cl8 0.591 0.939 0.732
Cl9 0.750 0.205 0.080
Cl10 0.750 0.295 0.580
Cl11 0.867 0.681 0.065
Cl12 0.867 0.819 0.565

Computed properties:
- spin magnetization (μB/f.u.) = 0.0
- crystal system = monoclinic
- energy relative to the elements, uncorrected (kJ per mole of atoms) = -147

[19]
A plane-wave DFT calculation with PBE was carried out for NaIn3Cl after structural relaxation.

Cell: 5.714 5.714 5.714 Å, 90.00 90.00 90.00°
Positions (direct):
Na1 0.000 0.000 0.000
In1 0.000 0.000 0.500
In2 0.000 0.500 0.000
In3 0.500 0.000 0.000
Cl1 0.500 0.500 0.500

Computed properties:
- spin magnetization (μB/f.u.) = 0.0
- offset from the most stable computed form (meV/atom) = 241.3
- crystal system = cubic
- energy relative to the elements, uncorrected (kJ per mole of atoms) = 22

[20]
A plane-wave DFT calculation with PBE was carried out for NaNdIn2Cl6 after structural relaxation.

Cell: 7.646 7.650 7.755 Å, 60.47 60.47 60.02°
Positions (direct):
Na1 0.000 0.000 0.000
Nd1 0.505 0.504 0.486
In1 0.216 0.214 0.354
In2 0.719 0.720 0.841
Cl1 0.181 0.772 0.708
Cl2 0.288 0.658 0.213
Cl3 0.339 0.180 0.708
Cl4 0.659 0.840 0.213
Cl5 0.773 0.338 0.708
Cl6 0.840 0.288 0.213

Computed properties:
- spin magnetization (μB/f.u.) = 0.0
- crystal system = triclinic
- energy relative to the elements, uncorrected (kJ per mole of atoms) = -155